Here is Li2GeH2 at its PBEsol-relaxed geometry from the Alexandria database. Energies are from meta-GGA SCAN.

CIF file:
```
data_Li2GeH2
_symmetry_space_group_name_H-M 'P 4/m b m'
_symmetry_Int_Tables_number 127
_symmetry_space_group_name_Hall '-P 4 2ab'
_cell_length_a 6.949
_cell_length_b 6.949
_cell_length_c 2.715
_cell_angle_alpha 90.00
_cell_angle_beta 90.00
_cell_angle_gamma 90.00
loop_
_atom_site_label
_atom_site_fract_x
_atom_site_fract_y
_atom_site_fract_z
Li1 0.189 0.311 0.000
Ge1 0.000 0.000 0.000
H1 0.041 0.541 0.500
```

Results
DOS at the Fermi energy   0.725 states/eV/f.u.

***

Here is LiGeHSe2 at its PBEsol-relaxed geometry from the Alexandria database. Energies are from meta-GGA SCAN.

CIF file:
```
data_LiGeHSe2
_symmetry_space_group_name_H-M 'P 4/m m m'
_symmetry_Int_Tables_number 123
_symmetry_space_group_name_Hall '-P 4 2'
_cell_length_a 4.458
_cell_length_b 4.458
_cell_length_c 4.753
_cell_angle_alpha 90.00
_cell_angle_beta 90.00
_cell_angle_gamma 90.00
loop_
_atom_site_label
_atom_site_fract_x
_atom_site_fract_y
_atom_site_fract_z
Li1 0.000 0.000 0.000
Ge1 0.000 0.000 0.500
H1 0.500 0.500 0.500
Se1 0.000 0.500 0.000
```

Results
DOS at the Fermi energy   1.817 states/eV/f.u.

***

Here is MgGeH2 at its PBEsol-relaxed geometry from the Alexandria database. Energies are from meta-GGA SCAN.

CIF file:
```
data_MgGeH2
_symmetry_space_group_name_H-M 'F m -3 m'
_symmetry_Int_Tables_number 225
_symmetry_space_group_name_Hall '-F 4 2 3'
_cell_length_a 5.579
_cell_length_b 5.579
_cell_length_c 5.579
_cell_angle_alpha 90.00
_cell_angle_beta 90.00
_cell_angle_gamma 90.00
loop_
_atom_site_label
_atom_site_fract_x
_atom_site_fract_y
_atom_site_fract_z
Mg1 0.000 0.000 0.000
Ge1 0.000 0.000 0.500
H1 0.250 0.250 0.250
```

Results
DOS at the Fermi energy   1.007 states/eV/f.u.

***

Here is Mg10Ge3H4O18 at its PBEsol-relaxed geometry from the Alexandria database. Energies are from meta-GGA SCAN.

CIF file:
```
data_Mg10Ge3H4O18
_symmetry_space_group_name_H-M 'P n n m'
_symmetry_Int_Tables_number 58
_symmetry_space_group_name_Hall '-P 2 2n'
_cell_length_a 5.176
_cell_length_b 14.197
_cell_length_c 8.890
_cell_angle_alpha 90.00
_cell_angle_beta 90.00
_cell_angle_gamma 90.00
loop_
_atom_site_label
_atom_site_fract_x
_atom_site_fract_y
_atom_site_fract_z
Mg1 0.000 0.000 0.161
Mg2 0.000 0.500 0.175
Mg3 0.158 0.178 0.324
Mg4 0.162 0.326 0.000
Ge1 0.000 0.000 0.500
Ge2 0.015 0.623 0.500
H1 0.075 0.811 0.102
O1 0.008 0.748 0.500
O2 0.019 0.754 0.158
O3 0.151 0.924 0.350
O4 0.175 0.584 0.334
O5 0.183 0.582 0.000
O6 0.185 0.914 0.000
```

Results
DOS at the Fermi energy   0.000 states/eV/f.u.

***

Here is MgGe2TeH at its PBEsol-relaxed geometry from the Alexandria database. Energies are from meta-GGA SCAN.

CIF file:
```
data_MgGe2TeH
_symmetry_space_group_name_H-M 'P 4/m m m'
_symmetry_Int_Tables_number 123
_symmetry_space_group_name_Hall '-P 4 2'
_cell_length_a 4.072
_cell_length_b 4.072
_cell_length_c 5.534
_cell_angle_alpha 90.00
_cell_angle_beta 90.00
_cell_angle_gamma 90.00
loop_
_atom_site_label
_atom_site_fract_x
_atom_site_fract_y
_atom_site_fract_z
Mg1 0.000 0.000 0.000
Ge1 0.000 0.500 0.500
Te1 0.500 0.500 0.000
H1 0.500 0.500 0.500
```

Results
DOS at the Fermi energy   1.430 states/eV/f.u.

***

Here is Mn3GeH at its PBEsol-relaxed geometry from the Alexandria database. Energies are from meta-GGA SCAN.

CIF file:
```
data_Mn3GeH
_symmetry_space_group_name_H-M 'P m -3 m'
_symmetry_Int_Tables_number 221
_symmetry_space_group_name_Hall '-P 4 2 3'
_cell_length_a 3.651
_cell_length_b 3.651
_cell_length_c 3.651
_cell_angle_alpha 90.00
_cell_angle_beta 90.00
_cell_angle_gamma 90.00
loop_
_atom_site_label
_atom_site_fract_x
_atom_site_fract_y
_atom_site_fract_z
Mn1 0.000 0.000 0.500
Ge1 0.500 0.500 0.500
H1 0.000 0.000 0.000
```

Results
DOS at the Fermi energy   1.146 states/eV/f.u.

***

Here is Mn2GeH2 at its PBEsol-relaxed geometry from the Alexandria database. Energies are from meta-GGA SCAN.

CIF file:
```
data_Mn2GeH2
_symmetry_space_group_name_H-M 'I 4/m m m'
_symmetry_Int_Tables_number 139
_symmetry_space_group_name_Hall '-I 4 2'
_cell_length_a 2.861
_cell_length_b 2.861
_cell_length_c 9.761
_cell_angle_alpha 90.00
_cell_angle_beta 90.00
_cell_angle_gamma 90.00
loop_
_atom_site_label
_atom_site_fract_x
_atom_site_fract_y
_atom_site_fract_z
Mn1 0.000 0.000 0.147
Ge1 0.000 0.000 0.500
H1 0.000 0.500 0.250
```

Results
DOS at the Fermi energy   3.273 states/eV/f.u.

***

Here is TiMn2GeH at its PBEsol-relaxed geometry from the Alexandria database. Energies are from meta-GGA SCAN.

CIF file:
```
data_TiMn2GeH
_symmetry_space_group_name_H-M 'P 4/m m m'
_symmetry_Int_Tables_number 123
_symmetry_space_group_name_Hall '-P 4 2'
_cell_length_a 3.756
_cell_length_b 3.756
_cell_length_c 3.724
_cell_angle_alpha 90.00
_cell_angle_beta 90.00
_cell_angle_gamma 90.00
loop_
_atom_site_label
_atom_site_fract_x
_atom_site_fract_y
_atom_site_fract_z
Ti1 0.000 0.000 0.000
Mn1 0.000 0.500 0.500
Ge1 0.500 0.500 0.000
H1 0.000 0.000 0.500
```

Results
DOS at the Fermi energy   1.642 states/eV/f.u.

***

Number 1: final energy -6.112 eV/atom. Number 2: final energy -12.312 eV/atom. Number 3: final energy -7.224 eV/atom. Number 4: final energy -9.105 eV/atom. Number 5: final energy -16.490 eV/atom. Number 6: final energy -15.740 eV/atom. Number 7: final energy -12.497 eV/atom. Number 8: final energy -15.422 eV/atom.